Entry 1:
Rb2Ba2Na | PBE-GGA | relaxed

Cell lengths 12.3589, 12.3589, 12.3589 Å; angles 153.17, 153.17, 38.30 degrees
Atoms (fractional coordinates):
Rb (0.0908, 0.0908, 0.0000)
Rb (0.9092, 0.9092, 0.0000)
Ba (0.2500, 0.7500, 0.5000)
Ba (0.7500, 0.2500, 0.5000)
Na (0.5000, 0.5000, 0.0000)

Excess energy over the best structure of this formula in the dataset ... 49 meV per atom
Symmetry ... No. 139



Entry 2:
RbBa3Na8 | PBE-GGA | relaxed

Cell lengths 7.3303, 7.3303, 12.0984 Å; angles 90.00, 90.00, 120.00 degrees
Atoms (fractional coordinates):
Rb (0.0000, 0.0000, 0.0000)
Ba (0.0000, 0.0000, 0.3809)
Ba (0.6667, 0.3333, 0.4973)
Ba (0.6667, 0.3333, 0.8656)
Na (0.1649, 0.3298, 0.6810)
Na (0.1649, 0.8351, 0.6810)
Na (0.3333, 0.6667, 0.4360)
Na (0.3333, 0.6667, 0.9339)
Na (0.5028, 0.0056, 0.1912)
Na (0.5028, 0.4972, 0.1912)
Na (0.6702, 0.8351, 0.6810)
Na (0.9944, 0.4972, 0.1912)

Symmetry ... No. 156



Entry 3:
RbBa2Na | PBE-GGA | relaxed

Cell lengths 14.6812, 14.6812, 14.6812 Å; angles 17.71, 17.71, 17.71 degrees
Atoms (fractional coordinates):
Rb (0.0000, 0.0000, 0.0000)
Ba (0.2393, 0.2393, 0.2393)
Ba (0.4274, 0.4274, 0.4274)
Na (0.8335, 0.8335, 0.8335)

Symmetry ... No. 160



Entry 4:
RbBa2Na | PBE-GGA | relaxed

Cell lengths 15.3173, 15.3173, 15.3173 Å; angles 16.74, 16.74, 16.74 degrees
Atoms (fractional coordinates):
Rb (0.0000, 0.0000, 0.0000)
Ba (0.0970, 0.0970, 0.0970)
Ba (0.9030, 0.9030, 0.9030)
Na (0.5000, 0.5000, 0.5000)

Symmetry ... No. 166



no.,ΔE_f (meV per atom)
1,255
2,5
3,103
4,143